[1]
# HoEr5Hg6 (GGA-PBE, relaxed)
data_HoEr5Hg6
_chemical_formula_sum 'Ho1 Er5 Hg6'
_cell_length_a 8.269
_cell_length_b 8.269
_cell_length_c 7.399
_cell_angle_alpha 90.00
_cell_angle_beta 90.00
_cell_angle_gamma 143.29
_space_group_name_H-M_alt 'P 1'
_space_group_IT_number 1
loop_
_space_group_symop_operation_xyz
'x,y,z'
loop_
_atom_site_label
_atom_site_type_symbol
_atom_site_fract_x
_atom_site_fract_y
_atom_site_fract_z
Ho1 Ho 0.000 0.000 0.000
Er1 Er 0.000 0.000 0.500
Er2 Er 0.333 0.667 0.000
Er3 Er 0.334 0.666 0.500
Er4 Er 0.666 0.334 0.500
Er5 Er 0.667 0.333 0.000
Hg1 Hg 0.167 0.833 0.251
Hg2 Hg 0.167 0.833 0.749
Hg3 Hg 0.500 0.500 0.251
Hg4 Hg 0.500 0.500 0.749
Hg5 Hg 0.833 0.167 0.251
Hg6 Hg 0.833 0.167 0.749
# SG	Cmmm (65)
# ΔE_f	-5.78	eV/f.u.
# DOS at the Fermi energy	0.744	states/eV per atom

***

[2]
# HoEr6Hg2 (GGA-PBE, relaxed)
data_HoEr6Hg2
_chemical_formula_sum 'Ho1 Er6 Hg2'
_cell_length_a 6.503
_cell_length_b 6.503
_cell_length_c 11.724
_cell_angle_alpha 108.16
_cell_angle_beta 108.16
_cell_angle_gamma 32.98
_space_group_name_H-M_alt 'P 1'
_space_group_IT_number 1
loop_
_space_group_symop_operation_xyz
'x,y,z'
loop_
_atom_site_label
_atom_site_type_symbol
_atom_site_fract_x
_atom_site_fract_y
_atom_site_fract_z
Ho1 Ho 0.000 0.000 0.000
Er1 Er 0.015 0.015 0.338
Er2 Er 0.312 0.312 0.124
Er3 Er 0.313 0.313 0.416
Er4 Er 0.687 0.687 0.584
Er5 Er 0.688 0.688 0.876
Er6 Er 0.985 0.985 0.662
Hg1 Hg 0.355 0.355 0.793
Hg2 Hg 0.645 0.645 0.207
# SG	C2/m (12)
# ΔE_f	-1.84	eV/f.u.
# DOS at the Fermi energy	1.077	states/eV per atom

***

[3]
# HoEr3Hg4 (GGA-PBE, relaxed)
data_HoEr3Hg4
_chemical_formula_sum 'Ho1 Er3 Hg4'
_cell_length_a 7.552
_cell_length_b 7.552
_cell_length_c 5.946
_cell_angle_alpha 106.84
_cell_angle_beta 106.84
_cell_angle_gamma 40.82
_space_group_name_H-M_alt 'P 1'
_space_group_IT_number 1
loop_
_space_group_symop_operation_xyz
'x,y,z'
loop_
_atom_site_label
_atom_site_type_symbol
_atom_site_fract_x
_atom_site_fract_y
_atom_site_fract_z
Ho1 Ho 0.000 0.000 0.000
Er1 Er 0.332 0.332 0.921
Er2 Er 0.500 0.500 0.500
Er3 Er 0.668 0.668 0.079
Hg1 Hg 0.112 0.112 0.648
Hg2 Hg 0.240 0.240 0.328
Hg3 Hg 0.760 0.760 0.672
Hg4 Hg 0.888 0.888 0.352
# SG	C2/m (12)
# ΔE_f	-2.22	eV/f.u.
# DOS at the Fermi energy	0.758	states/eV per atom

***

[4]
# Ho3Er3Hg2 (GGA-PBE, relaxed)
data_Ho3Er3Hg2
_chemical_formula_sum 'Ho6 Er6 Hg4'
_cell_length_a 6.334
_cell_length_b 6.334
_cell_length_c 15.702
_cell_angle_alpha 90.00
_cell_angle_beta 90.00
_cell_angle_gamma 132.49
_space_group_name_H-M_alt 'P 1'
_space_group_IT_number 1
loop_
_space_group_symop_operation_xyz
'x,y,z'
loop_
_atom_site_label
_atom_site_type_symbol
_atom_site_fract_x
_atom_site_fract_y
_atom_site_fract_z
Ho1 Ho 0.041 0.959 0.607
Ho2 Ho 0.041 0.959 0.893
Ho3 Ho 0.280 0.720 0.750
Ho4 Ho 0.720 0.280 0.250
Ho5 Ho 0.959 0.041 0.107
Ho6 Ho 0.959 0.041 0.393
Er1 Er 0.357 0.643 0.533
Er2 Er 0.357 0.643 0.967
Er3 Er 0.431 0.569 0.250
Er4 Er 0.569 0.431 0.750
Er5 Er 0.643 0.357 0.033
Er6 Er 0.643 0.357 0.467
Hg1 Hg 0.227 0.773 0.129
Hg2 Hg 0.227 0.773 0.371
Hg3 Hg 0.773 0.227 0.629
Hg4 Hg 0.773 0.227 0.871
# SG	Cmcm (63)
# ΔE_f	-1.30	eV/f.u.
# DOS at the Fermi energy	1.234	states/eV per atom

***

[5]
# HoEr4Hg5 (GGA-PBE, relaxed)
data_HoEr4Hg5
_chemical_formula_sum 'Ho1 Er4 Hg5'
_cell_length_a 3.692
_cell_length_b 3.692
_cell_length_c 18.497
_cell_angle_alpha 90.00
_cell_angle_beta 90.00
_cell_angle_gamma 90.00
_space_group_name_H-M_alt 'P 1'
_space_group_IT_number 1
loop_
_space_group_symop_operation_xyz
'x,y,z'
loop_
_atom_site_label
_atom_site_type_symbol
_atom_site_fract_x
_atom_site_fract_y
_atom_site_fract_z
Ho1 Ho 0.000 0.000 0.000
Er1 Er 0.000 0.000 0.201
Er2 Er 0.000 0.000 0.400
Er3 Er 0.000 0.000 0.600
Er4 Er 0.000 0.000 0.799
Hg1 Hg 0.500 0.500 0.101
Hg2 Hg 0.500 0.500 0.300
Hg3 Hg 0.500 0.500 0.500
Hg4 Hg 0.500 0.500 0.700
Hg5 Hg 0.500 0.500 0.899
# SG	P4/mmm (123)
# ΔE_f	-4.82	eV/f.u.
# DOS at the Fermi energy	0.748	states/eV per atom

***

[6]
# Ho7ErHg2 (GGA-PBE, relaxed)
data_Ho7ErHg2
_chemical_formula_sum 'Ho7 Er1 Hg2'
_cell_length_a 8.914
_cell_length_b 8.914
_cell_length_c 5.190
_cell_angle_alpha 90.00
_cell_angle_beta 90.00
_cell_angle_gamma 119.19
_space_group_name_H-M_alt 'P 1'
_space_group_IT_number 1
loop_
_space_group_symop_operation_xyz
'x,y,z'
loop_
_atom_site_label
_atom_site_type_symbol
_atom_site_fract_x
_atom_site_fract_y
_atom_site_fract_z
Ho1 Ho 0.000 0.000 0.000
Ho2 Ho 0.198 0.437 0.000
Ho3 Ho 0.269 0.731 0.500
Ho4 Ho 0.437 0.198 0.000
Ho5 Ho 0.563 0.802 0.000
Ho6 Ho 0.731 0.269 0.500
Ho7 Ho 0.802 0.563 0.000
Er1 Er 0.500 0.500 0.500
Hg1 Hg 0.193 0.807 0.000
Hg2 Hg 0.807 0.193 0.000
# SG	Cmmm (65)
# ΔE_f	2.89	eV/f.u.
# DOS at the Fermi energy	2.063	states/eV per atom

***

[7]
# Ho2ErHg2 (GGA-PBE, relaxed)
data_Ho2ErHg2
_chemical_formula_sum 'Ho2 Er1 Hg2'
_cell_length_a 5.112
_cell_length_b 5.112
_cell_length_c 6.335
_cell_angle_alpha 90.00
_cell_angle_beta 90.00
_cell_angle_gamma 120.00
_space_group_name_H-M_alt 'P 1'
_space_group_IT_number 1
loop_
_space_group_symop_operation_xyz
'x,y,z'
loop_
_atom_site_label
_atom_site_type_symbol
_atom_site_fract_x
_atom_site_fract_y
_atom_site_fract_z
Ho1 Ho 0.333 0.667 0.161
Ho2 Ho 0.667 0.333 0.839
Er1 Er 0.000 0.000 0.500
Hg1 Hg 0.333 0.667 0.675
Hg2 Hg 0.667 0.333 0.325
# SG	P-3m1 (164)
# ΔE_f	-1.21	eV/f.u.
# DOS at the Fermi energy	1.199	states/eV per atom

***

[8]
# HoErHg2 (GGA-PBE, relaxed)
data_HoErHg2
_chemical_formula_sum 'Ho1 Er1 Hg2'
_cell_length_a 5.232
_cell_length_b 5.232
_cell_length_c 5.232
_cell_angle_alpha 60.00
_cell_angle_beta 60.00
_cell_angle_gamma 60.00
_space_group_name_H-M_alt 'P 1'
_space_group_IT_number 1
loop_
_space_group_symop_operation_xyz
'x,y,z'
loop_
_atom_site_label
_atom_site_type_symbol
_atom_site_fract_x
_atom_site_fract_y
_atom_site_fract_z
Ho1 Ho 0.000 0.000 0.000
Er1 Er 0.500 0.500 0.500
Hg1 Hg 0.250 0.250 0.250
Hg2 Hg 0.750 0.750 0.750
# SG	Fm-3m (225)
# ΔE_f	-1.92	eV/f.u.
# DOS at the Fermi energy	0.822	states/eV per atom

***

[9]
# HoErHg (GGA-PBE, relaxed)
data_HoErHg
_chemical_formula_sum 'Ho1 Er1 Hg1'
_cell_length_a 5.062
_cell_length_b 5.062
_cell_length_c 5.062
_cell_angle_alpha 60.00
_cell_angle_beta 60.00
_cell_angle_gamma 60.00
_space_group_name_H-M_alt 'P 1'
_space_group_IT_number 1
loop_
_space_group_symop_operation_xyz
'x,y,z'
loop_
_atom_site_label
_atom_site_type_symbol
_atom_site_fract_x
_atom_site_fract_y
_atom_site_fract_z
Ho1 Ho 0.000 0.000 0.000
Er1 Er 0.500 0.500 0.500
Hg1 Hg 0.250 0.250 0.250
# SG	F-43m (216)
# ΔE_f	-0.35	eV/f.u.
# DOS at the Fermi energy	0.955	states/eV per atom

***

[10]
# Ho2Er3Hg2 (GGA-PBE, relaxed)
data_Ho2Er3Hg2
_chemical_formula_sum 'Ho2 Er3 Hg2'
_cell_length_a 5.308
_cell_length_b 5.308
_cell_length_c 8.433
_cell_angle_alpha 108.27
_cell_angle_beta 108.27
_cell_angle_gamma 59.92
_space_group_name_H-M_alt 'P 1'
_space_group_IT_number 1
loop_
_space_group_symop_operation_xyz
'x,y,z'
loop_
_atom_site_label
_atom_site_type_symbol
_atom_site_fract_x
_atom_site_fract_y
_atom_site_fract_z
Ho1 Ho 0.075 0.075 0.225
Ho2 Ho 0.925 0.925 0.775
Er1 Er 0.343 0.343 0.028
Er2 Er 0.500 0.500 0.500
Er3 Er 0.657 0.657 0.972
Hg1 Hg 0.214 0.214 0.641
Hg2 Hg 0.786 0.786 0.359
# SG	C2/m (12)
# ΔE_f	-1.66	eV/f.u.
# DOS at the Fermi energy	1.070	states/eV per atom

***

[11]
# HoEr8Hg2 (GGA-PBE, relaxed)
data_HoEr8Hg2
_chemical_formula_sum 'Ho1 Er8 Hg2'
_cell_length_a 8.563
_cell_length_b 8.563
_cell_length_c 5.453
_cell_angle_alpha 100.29
_cell_angle_beta 100.29
_cell_angle_gamma 118.19
_space_group_name_H-M_alt 'P 1'
_space_group_IT_number 1
loop_
_space_group_symop_operation_xyz
'x,y,z'
loop_
_atom_site_label
_atom_site_type_symbol
_atom_site_fract_x
_atom_site_fract_y
_atom_site_fract_z
Ho1 Ho 0.000 0.000 0.000
Er1 Er 0.091 0.320 0.607
Er2 Er 0.225 0.775 0.000
Er3 Er 0.320 0.091 0.607
Er4 Er 0.396 0.396 0.200
Er5 Er 0.604 0.604 0.800
Er6 Er 0.680 0.909 0.393
Er7 Er 0.775 0.225 0.000
Er8 Er 0.909 0.680 0.393
Hg1 Hg 0.307 0.693 0.500
Hg2 Hg 0.693 0.307 0.500
# SG	C2/m (12)
# ΔE_f	-0.48	eV/f.u.
# DOS at the Fermi energy	1.364	states/eV per atom

***

[12]
# HoEr4Hg (GGA-PBE, relaxed)
data_HoEr4Hg
_chemical_formula_sum 'Ho1 Er4 Hg1'
_cell_length_a 3.532
_cell_length_b 3.532
_cell_length_c 13.932
_cell_angle_alpha 90.00
_cell_angle_beta 90.00
_cell_angle_gamma 90.00
_space_group_name_H-M_alt 'P 1'
_space_group_IT_number 1
loop_
_space_group_symop_operation_xyz
'x,y,z'
loop_
_atom_site_label
_atom_site_type_symbol
_atom_site_fract_x
_atom_site_fract_y
_atom_site_fract_z
Ho1 Ho 0.000 0.000 0.000
Er1 Er 0.000 0.000 0.355
Er2 Er 0.000 0.000 0.645
Er3 Er 0.500 0.500 0.177
Er4 Er 0.500 0.500 0.823
Hg1 Hg 0.500 0.500 0.500
# SG	P4/mmm (123)
# ΔE_f	-0.85	eV/f.u.
# DOS at the Fermi energy	1.387	states/eV per atom